No. 1
YHf2BePb: relaxed, PBE.

```
YHf2BePb
1.0
6.502 0.000 0.000
0.000 6.502 0.000
0.000 0.000 5.826
Y Hf Be Pb
1 2 1 1
Cartesian
0.000 0.000 0.000
0.000 3.251 0.000
3.251 0.000 0.000
0.000 0.000 2.913
3.251 3.251 2.913
```

Calculated values
Size of the total moment, μB per atom: 0.33
Calculated volume, Å³ per cell: 246.3
Total DFT energy (no corrections), Ha/atom: -0.1615
ΔE_f, eV per atom: 2.3659
Crystal system: tetragonal

No. 2
YSc2Mo2: relaxed, PBE.

```
YSc2Mo2
1.0
8.060 0.000 0.000
0.000 8.060 0.000
0.000 0.000 3.371
Y Sc Mo
2 4 4
Cartesian
0.000 0.000 0.000
4.030 4.030 0.000
1.507 2.523 1.686
2.523 6.553 1.686
5.537 1.507 1.686
6.553 5.537 1.686
0.816 4.846 0.000
3.215 0.816 0.000
4.846 7.245 0.000
7.245 3.215 0.000
```

Calculated values
Size of the total moment, μB per atom: 0.00
Calculated volume, Å³ per cell: 219.0
Total DFT energy (no corrections), Ha/atom: -0.2918
ΔE_f, eV per atom: 0.2169
Crystal system: tetragonal